(1)
KBeCl2: relaxed, PBE.

Values from the calculation:
D(E_F)   1.15 states/eV/f.u.
Formation energy (no corrections)   -0.44 eV per atom
Offset from the most stable computed form   546.0 meV/atom

Cell: 7.2004 7.2004 7.2004 Å, 90.00 90.00 90.00°
Space group Fm-3m (No. 225)
Inequivalent atoms, fractional coordinates:
K (0.0000, 0.0000, 0.0000) x4
Be (0.0000, 0.0000, 0.5000) x4
Cl (0.2500, 0.2500, 0.2500) x8

(2)
YInPt2: relaxed, PBE.

Values from the calculation:
DFT formation energy   -920 meV/atom
D(E_F)   1.00 states/eV/f.u.

Cell: 4.2725 3.8084 10.2880 Å, 90.00 90.00 90.00°
Space group Amm2 (No. 38)
Inequivalent atoms, fractional coordinates:
Y (0.0000, 0.0000, 0.0000) x2
In (0.5000, 0.0000, 0.7109) x2
Pt (0.0000, 0.0000, 0.2741) x2
Pt (0.5000, 0.0000, 0.4423) x2

(3)
Na2SmF6: relaxed, PBE.

Values from the calculation:
D(E_F)   5.85 states/eV/f.u.
Formation energy (no corrections)   -2.95 eV per atom

Cell: 4.3133 4.3133 13.5874 Å, 90.00 90.00 90.00°
Space group I4/mmm (No. 139)
Inequivalent atoms, fractional coordinates:
Na (0.0000, 0.5000, 0.2500) x4
Sm (0.0000, 0.0000, 0.0000) x2
F (0.0000, 0.0000, 0.1976) x4
F (0.0000, 0.5000, 0.0818) x8

(4)
KTe2Au: relaxed, PBE.

Values from the calculation:
D(E_F)   4.05 states/eV/f.u.
Formation energy (no corrections)   0.02 eV per atom

Cell: 7.6670 7.6670 7.6670 Å, 90.00 90.00 90.00°
Space group Fm-3m (No. 225)
Inequivalent atoms, fractional coordinates:
K (0.0000, 0.0000, 0.0000) x4
Te (0.2500, 0.2500, 0.2500) x8
Au (0.0000, 0.0000, 0.5000) x4

(5)
Ce2PrScS4: relaxed, PBE.

Values from the calculation:
D(E_F)   11.54 states/eV/f.u.
Formation energy (no corrections)   -1.96 eV per atom

Cell: 6.8784 3.9546 6.9069 Å, 90.00 109.18 90.00°
Space group P2/m (No. 10)
Inequivalent atoms, fractional coordinates:
Ce (0.0000, 0.0000, 0.0000) x1
Ce (0.0000, 0.5000, 0.5000) x1
Pr (0.5000, 0.0000, 0.5000) x1
Sc (0.5000, 0.5000, 0.0000) x1
S (0.2555, 0.5000, 0.2357) x2
S (0.2664, 0.0000, 0.7708) x2

(6)
NaVHg2Au: relaxed, PBE.

Values from the calculation:
DFT formation energy   682 meV/atom
D(E_F)   5.86 states/eV/f.u.

Cell: 5.3108 5.3108 5.2158 Å, 90.00 90.00 90.00°
Space group P4/mmm (No. 123)
Inequivalent atoms, fractional coordinates:
Na (0.0000, 0.0000, 0.0000) x1
V (0.5000, 0.5000, 0.0000) x1
Hg (0.0000, 0.5000, 0.5000) x2
Au (0.0000, 0.0000, 0.5000) x1

Q: D(E_F) of number 4 (KTe2Au)?
A: 4.05 states/eV/f.u.

Q: The highest D(E_F) belongs to which entry?
A: Ce2PrScS4